Record 1
YAg2GeB after structural relaxation. Source: Alexandria via LeMat-Bulk, functional PBE.

Structure (extended XYZ):
```
5
Lattice="4.755 0.000 0.000 0.000 5.519 0.000 0.000 0.000 4.755" Properties=species:S:1:pos:R:3 pbc="T T T"
B 2.378 2.759 2.378
Y 0.000 2.759 0.000
Ge 0.000 0.000 0.000
Ag 2.378 0.000 0.000
Ag 0.000 0.000 2.378
```

## Properties
The calculation puts the density of states at the Fermi level at 0.736 states/eV/atom. The calculation puts the formation energy from the elements at 926 meV per atom. The final energy is -18.83 eV for the cell shown. The total magnetization comes out at 0.358 μB/f.u. Its density is 5.16 Mg/m³.

=====

Record 2
ZnAgGeB2 after structural relaxation. Source: Alexandria via LeMat-Bulk, functional PBE.

Structure (extended XYZ):
```
5
Lattice="4.104 0.000 0.000 0.000 5.220 0.000 0.000 0.000 4.104" Properties=species:S:1:pos:R:3 pbc="T T T"
Zn 0.000 2.610 0.000
Ag 0.000 0.000 0.000
B 0.000 0.000 2.052
Ge 2.052 2.610 2.052
B 2.052 0.000 0.000
```

## Properties
The calculation puts the density of states at the Fermi level at 0.423 states/eV/atom. The calculation puts the formation energy from the elements at 1479 meV per atom. The final energy is -14.70 eV for the cell shown. The total magnetization comes out at 0.000 μB/f.u. Its density is 5.05 Mg/m³.

=====

Record 3
AgBH4 after structural relaxation. Source: Alexandria via LeMat-Bulk, functional PBE.

Structure (extended XYZ):
```
12
Lattice="-3.633 1.018 -1.686 3.217 -0.888 -2.403 -5.875 -5.606 9.276" Properties=species:S:1:pos:R:3 pbc="T T T"
B -0.208 0.065 -2.045
B -1.329 -3.247 3.436
H -3.259 -5.720 5.816
H -3.032 0.244 -0.629
Ag -7.640 -3.299 5.456
H -6.687 -4.745 6.405
H -4.358 -3.010 4.757
H 0.396 -0.731 -1.218
H -2.596 -3.519 3.394
Ag -1.868 -1.290 2.134
H -3.695 -1.958 1.793
H -1.933 -2.466 0.430
```

## Properties
The calculation puts the density of states at the Fermi level at 0.118 states/eV/atom. The final energy is -40.24 eV for the cell shown. The total magnetization comes out at 0.000 μB/f.u. Its density is 3.99 Mg/m³.

=====

Record 4
AgB2H after structural relaxation. Source: Alexandria via LeMat-Bulk, functional PBE.

Structure (extended XYZ):
```
4
Lattice="0.000 2.664 2.664 2.664 0.000 2.664 2.664 2.664 0.000" Properties=species:S:1:pos:R:3 pbc="T T T"
H 0.000 0.000 0.000
B 1.332 1.332 1.332
B 3.996 3.996 3.996
Ag 2.664 2.664 2.664
```

## Properties
The calculation puts the density of states at the Fermi level at 0.536 states/eV/atom. The final energy is -12.43 eV for the cell shown. The total magnetization comes out at 0.000 μB/f.u. Its distance to the lowest polymorph of the same formula is 97.8 kJ/mol of atoms. Its density is 5.73 Mg/m³.

=====

Record 5
AgB2H6 after structural relaxation. Source: Alexandria via LeMat-Bulk, functional PBE.

Structure (extended XYZ):
```
18
Lattice="4.034 1.443 -1.904 -0.861 4.197 -1.904 0.683 1.215 9.771" Properties=species:S:1:pos:R:3 pbc="T T T"
H 0.634 2.083 2.743
H 1.310 4.068 6.706
H 0.474 2.103 4.852
H -0.374 3.156 -0.210
H 3.679 1.936 1.820
H 3.295 4.254 6.687
H 2.155 5.740 5.725
Ag 0.201 0.357 -0.241
B 3.233 4.286 2.881
H 2.801 3.855 3.931
H 3.595 5.435 2.772
B 2.044 5.036 6.702
B 2.867 3.693 -2.005
Ag 0.905 4.473 2.741
H 1.573 4.398 -1.938
H 2.723 3.100 -0.954
H 2.807 3.729 1.801
B 0.091 1.623 3.721
```

## Properties
The calculation puts the density of states at the Fermi level at 0.115 states/eV/atom. The final energy is -70.02 eV for the cell shown. The total magnetization comes out at 0.000 μB/f.u. Its distance to the lowest polymorph of the same formula is 0.8 kJ/mol of atoms. Its density is 2.34 Mg/m³.

=====

Record 6
AgB3H12 after structural relaxation. Source: Alexandria via LeMat-Bulk, functional PBE.

Structure (extended XYZ):
```
32
Lattice="2.269 4.806 5.004 -1.572 -1.054 7.050 5.364 -1.877 4.695" Properties=species:S:1:pos:R:3 pbc="T T T"
H 3.224 0.702 10.792
H 4.469 -1.590 11.691
H 5.455 2.137 13.619
B 2.527 -0.206 6.424
H 3.539 2.165 9.077
B 4.197 2.936 8.275
H 1.883 3.286 7.175
B 4.685 -1.117 12.874
B 2.229 0.167 10.406
H 5.287 1.333 11.174
H 2.582 -1.134 7.172
H 4.702 2.382 7.346
H 4.784 2.680 9.406
H 4.198 -0.046 13.063
H 1.499 -0.761 3.203
H 3.679 0.110 5.911
H 2.735 1.408 3.854
H -0.376 -0.618 4.972
H 2.417 -1.067 10.042
H 5.670 1.196 15.466
B 6.436 1.321 10.858
H 1.615 -0.035 5.676
H 0.339 0.794 7.372
Ag 1.864 1.648 8.220
H 0.958 2.334 9.796
H 7.030 2.461 10.993
H 1.491 2.513 5.280
H 2.184 -0.047 9.132
H 0.999 0.993 1.989
Ag 4.198 -1.166 4.541
H 3.051 0.887 6.872
B 6.227 1.753 14.442
```

## Properties
The calculation puts the density of states at the Fermi level at 0.219 states/eV/atom. The final energy is -120.60 eV for the cell shown. The total magnetization comes out at 0.000 μB/f.u. Its density is 1.81 Mg/m³.

=====

Q: total magnetization of number 2 (ZnAgGeB2)?
A: 0.000 μB/f.u.

=====

Q: density of number 2 (ZnAgGeB2)?
A: 5.05 Mg/m³

=====

Please write out number 4 again, unchanged.
AgB2H after structural relaxation. Source: Alexandria via LeMat-Bulk, functional PBE.

Structure (extended XYZ):
```
4
Lattice="0.000 2.664 2.664 2.664 0.000 2.664 2.664 2.664 0.000" Properties=species:S:1:pos:R:3 pbc="T T T"
H 0.000 0.000 0.000
B 1.332 1.332 1.332
B 3.996 3.996 3.996
Ag 2.664 2.664 2.664
```

## Properties
The calculation puts the density of states at the Fermi level at 0.536 states/eV/atom. The final energy is -12.43 eV for the cell shown. The total magnetization comes out at 0.000 μB/f.u. Its distance to the lowest polymorph of the same formula is 97.8 kJ/mol of atoms. Its density is 5.73 Mg/m³.